# ReHRh2W (PBE-GGA, relaxed)
# **Calculated total energy**: -43.545 eV per cell
# **Excess energy over the best structure of this formula in the dataset**: 35 meV/atom
# **ρ**: 15.7 g/cm³
data_ReHRh2W
_cell_length_a 3.8535
_cell_length_b 3.8535
_cell_length_c 4.1129
_cell_angle_alpha 90.00
_cell_angle_beta 90.00
_cell_angle_gamma 90.00
_symmetry_space_group_name_H-M 'P 4/m m m'
_symmetry_Int_Tables_number 123
_symmetry_space_group_name_Hall '-P 4 2'
loop_
_atom_site_label
_atom_site_fract_x
_atom_site_fract_y
_atom_site_fract_z
Re1 0.0000 0.0000 0.0000
H1 0.5000 0.5000 0.5000
Rh1 0.0000 0.5000 0.5000
W1 0.5000 0.5000 0.0000

# YCd11In (PBE-GGA, relaxed)
# **Formation enthalpy at 0 K**: -0.0526 eV/atom
# **Calculated total energy**: -39.906 eV per cell
# **ρ**: 7.9 g/cm³
data_YCd11In
_cell_length_a 5.9994
_cell_length_b 14.1877
_cell_length_c 7.6701
_cell_angle_alpha 90.00
_cell_angle_beta 112.73
_cell_angle_gamma 90.00
_symmetry_space_group_name_H-M 'C 1 2/m 1'
_symmetry_Int_Tables_number 12
_symmetry_space_group_name_Hall '-C 2y'
loop_
_atom_site_label
_atom_site_fract_x
_atom_site_fract_y
_atom_site_fract_z
Y1 0.0000 0.0000 0.0000
Cd1 0.0000 0.0000 0.5000
Cd2 0.1133 0.3944 0.2086
Cd3 0.1722 0.1772 0.3505
Cd4 0.2500 0.2500 0.0000
In1 0.0000 0.5000 0.5000

- Among the records above, which one has the lowest calculated total energy?
  ReHRh2W

- The highest calculated total energy belongs to which entry?
  YCd11In

- Look up the calculated total energy of the second one.
  -39.906 eV per cell

- What is the formula in the first record?
  ReHRh2W